Entry 1:
# PrNd4Ho3

A relaxed structure of PrNd4Ho3 (GGA-PBE, the Alexandria database).

Properties
- total DFT energy (no corrections) (eV per atom) = -4.668
- ΔH_f (0 K) (kJ per mole of atoms) = 2.86
- space-group type = Pmn2_1, No. 31
- total magnetization (μB/f.u.) = 0.0
- offset from the most stable computed form (kJ/mol of atoms) = 1.4

Unit cell a=6.3458 b=7.3581 c=11.6763 alpha=90.00 beta=90.00 gamma=90.00
Fractional positions:
Ho 0.6472 0.6216 0.0000
Ho 0.9807 0.6217 0.7499
Ho 0.4807 0.3783 0.7501
Ho 0.4807 0.3783 0.2499
Ho 0.9807 0.6217 0.2501
Ho 0.1472 0.3784 0.5000
Pr 0.6478 0.6247 0.5000
Pr 0.1478 0.3753 0.0000
Nd 0.6431 0.1288 0.5000
Nd 0.6521 0.1285 0.0000
Nd 0.4819 0.8741 0.2460
Nd 0.1431 0.8712 0.0000
Nd 0.9819 0.1259 0.7460
Nd 0.4819 0.8741 0.7540
Nd 0.1521 0.8715 0.5000
Nd 0.9819 0.1259 0.2540

---

Entry 2:
# PrNd2Ho7

A relaxed structure of PrNd2Ho7 (GGA-PBE, the Alexandria database).

Properties
- total DFT energy (no corrections) (eV per atom) = -4.470
- ΔH_f (0 K) (kJ per mole of atoms) = 16.05
- space-group type = Cmmm, No. 65
- total magnetization (μB/f.u.) = 0.0
- offset from the most stable computed form (kJ/mol of atoms) = 14.1

Unit cell a=3.5148 b=14.8373 c=14.8374 alpha=154.59 beta=90.00 gamma=90.00
Fractional positions:
Ho 0.0000 0.8146 0.1854
Ho 0.5000 0.1483 0.3466
Ho 0.5000 0.8517 0.6534
Ho 0.5000 0.3466 0.1483
Ho 0.5000 0.6534 0.8517
Ho 0.0000 0.1854 0.8146
Ho 0.5000 0.5000 0.5000
Nd 0.5000 0.7075 0.2925
Nd 0.5000 0.2925 0.7075
Pr 0.0000 0.0000 0.0000

---

Entry 3:
# Pr15Nd4Ho

A relaxed structure of Pr15Nd4Ho (GGA-PBE, the Alexandria database).

Properties
- total DFT energy (no corrections) (eV per atom) = -4.755
- ΔH_f (0 K) (kJ per mole of atoms) = 1.20
- space-group type = P4/mmm, No. 123
- total magnetization (μB/f.u.) = 0.0

Unit cell a=5.2392 b=5.2392 c=26.1001 alpha=90.00 beta=90.00 gamma=90.00
Fractional positions:
Pr 0.5000 0.0000 0.5000
Pr 0.5000 0.5000 0.3998
Pr 0.5000 0.0000 0.0985
Pr 0.0000 0.5000 0.5000
Pr 0.5000 0.5000 0.8013
Pr 0.5000 0.5000 0.0000
Pr 0.5000 0.0000 0.7007
Pr 0.5000 0.0000 0.2993
Pr 0.0000 0.5000 0.7007
Pr 0.5000 0.5000 0.6002
Pr 0.0000 0.5000 0.9015
Pr 0.0000 0.5000 0.0985
Pr 0.5000 0.0000 0.9015
Pr 0.5000 0.5000 0.1987
Pr 0.0000 0.5000 0.2993
Ho 0.0000 0.0000 0.0000
Nd 0.0000 0.0000 0.3996
Nd 0.0000 0.0000 0.1989
Nd 0.0000 0.0000 0.8011
Nd 0.0000 0.0000 0.6004